VASP calculation (PBE) on crystalline LiPrEuNi at its relaxed geometry.

Properties
The crystal system is cubic. Its final energy is -22.74 eV/f.u. The value obtained for the density is 6.239 g cm⁻³. The calculation puts the total magnetic moment at 7.11 μB/cell. The calculation puts the volume at 95 Å³ per cell. The symmetry is No. 216.

Cell and atoms, written as POSCAR:
```
LiPrEuNi
1.0
0.000 3.627 3.627
3.627 0.000 3.627
3.627 3.627 0.000
Li Pr Eu Ni
1 1 1 1
Cartesian
0.000 0.000 0.000
5.440 5.440 5.440
1.813 1.813 1.813
3.627 3.627 3.627
```